Material: CeAl3Ir
Method: DFT, PBE-GGA
State: relaxed

* ΔE_f: -603 meV per atom
* theoretical density: 7.15 g/cm3
* space-group type: P6_3/mmc, No. 194

Unit cell a=6.2627 b=6.2627 c=5.6496 alpha=90.00 beta=90.00 gamma=120.00
Fractional coordinates of all 10 atoms:
Ce 0.3333 0.6667 0.2500
Ce 0.6667 0.3333 0.7500
Al 0.1902 0.3804 0.7500
Al 0.1902 0.8098 0.7500
Al 0.3804 0.1902 0.2500
Al 0.6196 0.8098 0.7500
Al 0.8098 0.1902 0.2500
Al 0.8098 0.6196 0.2500
Ir 0.0000 0.0000 0.0000
Ir 0.0000 0.0000 0.5000



Material: DyAl2ZnNi4
Method: DFT, PBE-GGA
State: relaxed

* ΔE_f: -463 meV per atom
* theoretical density: 7.39 g/cm3
* space-group type: R-3m, No. 166

Unit cell a=8.4561 b=8.4561 c=8.4561 alpha=27.80 beta=27.80 gamma=27.80
Fractional coordinates of all 8 atoms:
Dy 0.0000 0.0000 0.0000
Al 0.2382 0.2382 0.2382
Al 0.7618 0.7618 0.7618
Zn 0.5000 0.5000 0.5000
Ni 0.1301 0.1301 0.1301
Ni 0.4030 0.4030 0.4030
Ni 0.5970 0.5970 0.5970
Ni 0.8699 0.8699 0.8699



Material: Y3ErGa8
Method: DFT, PBE-GGA
State: relaxed

* ΔE_f: -564 meV per atom
* theoretical density: 6.96 g/cm3
* space-group type: R3m, No. 160

Unit cell a=9.6124 b=9.6124 c=9.6124 alpha=33.16 beta=33.16 gamma=33.16
Fractional coordinates of all 12 atoms:
Y 0.0000 0.0000 0.0000
Y 0.1240 0.1240 0.1240
Y 0.5004 0.5004 0.5004
Er 0.6239 0.6239 0.6239
Ga 0.0615 0.5619 0.5619
Ga 0.0624 0.0624 0.5625
Ga 0.0624 0.5625 0.0624
Ga 0.3120 0.3120 0.3120
Ga 0.5619 0.0615 0.5619
Ga 0.5625 0.0624 0.0624
Ga 0.5619 0.5619 0.0615
Ga 0.8121 0.8121 0.8121



- Number 1 is which compound?
  CeAl3Ir



- Which value of theoretical density does entry 2 give?
  7.39 g/cm3



- What is the formula in the third record?
  Y3ErGa8